Entry 1:
# NaGaAu4 (PBE-GGA, relaxed)
data_NaGaAu4
_chemical_formula_sum 'Na1 Ga1 Au4'
_cell_length_a 5.5958
_cell_length_b 5.5958
_cell_length_c 5.5958
_cell_angle_alpha 60.00
_cell_angle_beta 60.00
_cell_angle_gamma 60.00
_space_group_name_H-M_alt 'P 1'
_space_group_IT_number 1
loop_
_space_group_symop_operation_xyz
'x,y,z'
loop_
_atom_site_label
_atom_site_fract_x
_atom_site_fract_y
_atom_site_fract_z
Ga1 0.0000 0.0000 0.0000
Au1 0.6248 0.6248 0.1257
Au2 0.1257 0.6248 0.6248
Au3 0.6248 0.1257 0.6248
Au4 0.6248 0.6248 0.6248
Na1 0.2500 0.2500 0.2500
# SG: F-43m, No. 216
# spin magnetization: 0.00 μB/cell
# energy of formation from the pure elements: -135 meV per atom
# energy above the most stable polymorph in this dataset: 66.9 meV per atom



Entry 2:
# Na3Ga3Au2 (PBE-GGA, relaxed)
data_Na3Ga3Au2
_chemical_formula_sum 'Na12 Ga12 Au8'
_cell_length_a 5.7626
_cell_length_b 8.0843
_cell_length_c 15.6187
_cell_angle_alpha 90.00
_cell_angle_beta 90.00
_cell_angle_gamma 90.00
_space_group_name_H-M_alt 'P 1'
_space_group_IT_number 1
loop_
_space_group_symop_operation_xyz
'x,y,z'
loop_
_atom_site_label
_atom_site_fract_x
_atom_site_fract_y
_atom_site_fract_z
Na1 0.1028 0.4632 0.1127
Na2 0.6028 0.0368 0.6127
Na3 0.1176 0.1859 0.7500
Na4 0.8824 0.8141 0.2500
Na5 0.3972 0.9632 0.3873
Na6 0.1028 0.4632 0.3873
Na7 0.3972 0.9632 0.1127
Na8 0.6176 0.3141 0.2500
Na9 0.8972 0.5368 0.6127
Na10 0.6028 0.0368 0.8873
Na11 0.8972 0.5368 0.8873
Na12 0.3824 0.6859 0.7500
Au1 0.0996 0.8932 0.8920
Au2 0.4004 0.3932 0.8920
Au3 0.4004 0.3932 0.6080
Au4 0.9004 0.1068 0.1080
Au5 0.0996 0.8932 0.6080
Au6 0.9004 0.1068 0.3920
Au7 0.5996 0.6068 0.1080
Au8 0.5996 0.6068 0.3920
Ga1 0.3968 0.6890 0.5394
Ga2 0.6142 0.3367 0.7500
Ga3 0.3968 0.6890 0.9606
Ga4 0.6032 0.3110 0.0394
Ga5 0.8858 0.8367 0.7500
Ga6 0.1032 0.1890 0.5394
Ga7 0.8968 0.8110 0.4606
Ga8 0.6032 0.3110 0.4606
Ga9 0.1032 0.1890 0.9606
Ga10 0.3858 0.6633 0.2500
Ga11 0.8968 0.8110 0.0394
Ga12 0.1142 0.1633 0.2500
# SG: Pnma, No. 62
# spin magnetization: 0.00 μB/cell
# energy of formation from the pure elements: -247 meV per atom
# energy above the most stable polymorph in this dataset: 18.6 meV per atom



Entry 3:
# NaGa3Au6 (PBE-GGA, relaxed)
data_NaGa3Au6
_chemical_formula_sum 'Na1 Ga3 Au6'
_cell_length_a 6.6838
_cell_length_b 6.8379
_cell_length_c 6.6180
_cell_angle_alpha 89.69
_cell_angle_beta 122.09
_cell_angle_gamma 117.43
_space_group_name_H-M_alt 'P 1'
_space_group_IT_number 1
loop_
_space_group_symop_operation_xyz
'x,y,z'
loop_
_atom_site_label
_atom_site_fract_x
_atom_site_fract_y
_atom_site_fract_z
Au1 0.2662 0.3095 0.7172
Au2 0.4089 0.9728 0.7193
Au3 0.7429 0.9968 0.2454
Au4 0.2366 0.7481 0.2446
Au5 0.7475 0.4293 0.7286
Au6 0.5083 0.5005 0.2496
Ga1 0.7885 0.3867 0.1677
Ga2 0.2423 0.6325 0.8623
Ga3 0.2206 0.1193 0.3182
Na1 0.8383 0.9045 0.7471
# SG: P1, No. 1
# spin magnetization: 0.00 μB/cell
# energy of formation from the pure elements: -169 meV per atom



Entry 4:
# Na3Ga4Au4 (PBE-GGA, relaxed)
data_Na3Ga4Au4
_chemical_formula_sum 'Na3 Ga4 Au4'
_cell_length_a 4.3679
_cell_length_b 7.4307
_cell_length_c 8.2162
_cell_angle_alpha 116.88
_cell_angle_beta 105.42
_cell_angle_gamma 90.00
_space_group_name_H-M_alt 'P 1'
_space_group_IT_number 1
loop_
_space_group_symop_operation_xyz
'x,y,z'
loop_
_atom_site_label
_atom_site_fract_x
_atom_site_fract_y
_atom_site_fract_z
Au1 0.7824 0.2824 0.5649
Au2 0.5000 0.7967 0.0000
Au3 0.5000 0.2033 0.0000
Au4 0.2176 0.7176 0.4351
Ga1 0.6773 0.4816 0.3545
Ga2 0.3227 0.5184 0.6455
Ga3 0.3227 0.1271 0.6455
Ga4 0.6773 0.8729 0.3545
Na1 0.1175 0.1175 0.2350
Na2 0.0000 0.5000 0.0000
Na3 0.8825 0.8825 0.7650
# SG: Immm, No. 71
# spin magnetization: 0.00 μB/cell
# energy of formation from the pure elements: -343 meV per atom
# energy above the most stable polymorph in this dataset: 0.0 meV per atom



Entry 5:
# Na2Ga2Au (PBE-GGA, relaxed)
data_Na2Ga2Au
_chemical_formula_sum 'Na4 Ga4 Au2'
_cell_length_a 5.9047
_cell_length_b 5.9047
_cell_length_c 7.4106
_cell_angle_alpha 90.00
_cell_angle_beta 90.00
_cell_angle_gamma 101.30
_space_group_name_H-M_alt 'P 1'
_space_group_IT_number 1
loop_
_space_group_symop_operation_xyz
'x,y,z'
loop_
_atom_site_label
_atom_site_fract_x
_atom_site_fract_y
_atom_site_fract_z
Au1 0.6617 0.6617 0.2500
Au2 0.3383 0.3383 0.7500
Ga1 0.6701 0.6701 0.5866
Ga2 0.6701 0.6701 0.9134
Ga3 0.3299 0.3299 0.4134
Ga4 0.3299 0.3299 0.0866
Na1 0.8098 0.1902 0.5000
Na2 0.8098 0.1902 0.0000
Na3 0.1902 0.8098 0.5000
Na4 0.1902 0.8098 0.0000
# SG: Cmcm, No. 63
# spin magnetization: 0.00 μB/cell
# energy of formation from the pure elements: -145 meV per atom
# energy above the most stable polymorph in this dataset: 75.7 meV per atom



Entry 6:
# Na2Ga12Au7 (PBE-GGA, relaxed)
data_Na2Ga12Au7
_chemical_formula_sum 'Na2 Ga12 Au7'
_cell_length_a 4.0858
_cell_length_b 10.8130
_cell_length_c 10.8130
_cell_angle_alpha 120.00
_cell_angle_beta 90.00
_cell_angle_gamma 90.00
_space_group_name_H-M_alt 'P 1'
_space_group_IT_number 1
loop_
_space_group_symop_operation_xyz
'x,y,z'
loop_
_atom_site_label
_atom_site_fract_x
_atom_site_fract_y
_atom_site_fract_z
Ga1 0.7466 0.3868 0.9467
Ga2 0.2504 0.7376 0.8512
Ga3 0.2504 0.1136 0.2624
Ga4 0.7496 0.8512 0.1136
Ga5 0.2534 0.4401 0.3868
Ga6 0.2504 0.1488 0.8864
Ga7 0.7466 0.5599 0.6132
Ga8 0.7496 0.2624 0.1488
Ga9 0.2534 0.9467 0.5599
Ga10 0.7466 0.0533 0.4401
Ga11 0.2534 0.6132 0.0533
Ga12 0.7496 0.8864 0.7376
Na1 0.2576 0.3333 0.6667
Na2 0.7424 0.6667 0.3333
Au1 0.7581 0.5838 0.8706
Au2 0.7581 0.2868 0.4162
Au3 0.5000 0.0000 0.0000
Au4 0.2419 0.4162 0.1294
Au5 0.2419 0.8706 0.2868
Au6 0.7581 0.1294 0.7132
Au7 0.2419 0.7132 0.5838
# SG: P-3, No. 147
# spin magnetization: 0.00 μB/cell
# energy of formation from the pure elements: -242 meV per atom



Entry 7:
# NaGa4Au (PBE-GGA, relaxed)
data_NaGa4Au
_chemical_formula_sum 'Na1 Ga4 Au1'
_cell_length_a 5.5124
_cell_length_b 5.5124
_cell_length_c 5.5124
_cell_angle_alpha 60.00
_cell_angle_beta 60.00
_cell_angle_gamma 60.00
_space_group_name_H-M_alt 'P 1'
_space_group_IT_number 1
loop_
_space_group_symop_operation_xyz
'x,y,z'
loop_
_atom_site_label
_atom_site_fract_x
_atom_site_fract_y
_atom_site_fract_z
Au1 0.0000 0.0000 0.0000
Ga1 0.6254 0.6254 0.6254
Ga2 0.6254 0.1237 0.6254
Ga3 0.1237 0.6254 0.6254
Ga4 0.6254 0.6254 0.1237
Na1 0.2500 0.2500 0.2500
# SG: F-43m, No. 216
# spin magnetization: 0.00 μB/cell
# energy of formation from the pure elements: -22 meV per atom
# energy above the most stable polymorph in this dataset: 164.8 meV per atom



Entry 8:
# NaGa6Au3 (PBE-GGA, relaxed)
data_NaGa6Au3
_chemical_formula_sum 'Na2 Ga12 Au6'
_cell_length_a 4.4048
_cell_length_b 9.2909
_cell_length_c 9.7199
_cell_angle_alpha 82.08
_cell_angle_beta 90.00
_cell_angle_gamma 90.00
_space_group_name_H-M_alt 'P 1'
_space_group_IT_number 1
loop_
_space_group_symop_operation_xyz
'x,y,z'
loop_
_atom_site_label
_atom_site_fract_x
_atom_site_fract_y
_atom_site_fract_z
Au1 0.7500 0.7757 0.4921
Au2 0.2500 0.2243 0.5079
Au3 0.7500 0.1449 0.1228
Au4 0.2500 0.5486 0.1855
Au5 0.7500 0.4514 0.8145
Au6 0.2500 0.8551 0.8772
Ga1 0.7500 0.4325 0.0946
Ga2 0.7500 0.0962 0.4100
Ga3 0.7500 0.4046 0.5455
Ga4 0.2500 0.2549 0.2317
Ga5 0.7500 0.8887 0.0302
Ga6 0.2500 0.3173 0.7571
Ga7 0.7500 0.7451 0.7683
Ga8 0.2500 0.1113 0.9698
Ga9 0.7500 0.6827 0.2429
Ga10 0.2500 0.5954 0.4545
Ga11 0.2500 0.5675 0.9054
Ga12 0.2500 0.9038 0.5900
Na1 0.2500 0.9085 0.2605
Na2 0.7500 0.0915 0.7395
# SG: P2_1/m, No. 11
# spin magnetization: 0.00 μB/cell
# energy of formation from the pure elements: -213 meV per atom



Entry 9:
# Na2GaAu (PBE-GGA, relaxed)
data_Na2GaAu
_chemical_formula_sum 'Na4 Ga2 Au2'
_cell_length_a 5.3163
_cell_length_b 5.9602
_cell_length_c 5.9602
_cell_angle_alpha 102.42
_cell_angle_beta 90.00
_cell_angle_gamma 90.00
_space_group_name_H-M_alt 'P 1'
_space_group_IT_number 1
loop_
_space_group_symop_operation_xyz
'x,y,z'
loop_
_atom_site_label
_atom_site_fract_x
_atom_site_fract_y
_atom_site_fract_z
Na1 0.2500 0.6721 0.0323
Na2 0.7500 0.3279 0.9677
Na3 0.2500 0.0323 0.6721
Na4 0.7500 0.9677 0.3279
Au1 0.7500 0.8073 0.8073
Au2 0.2500 0.1927 0.1927
Ga1 0.5000 0.5000 0.5000
Ga2 0.0000 0.5000 0.5000
# SG: Cmcm, No. 63
# spin magnetization: 0.00 μB/cell
# energy of formation from the pure elements: -238 meV per atom



Entry 10:
# Na2GaAu2 (PBE-GGA, relaxed)
data_Na2GaAu2
_chemical_formula_sum 'Na4 Ga2 Au4'
_cell_length_a 6.9602
_cell_length_b 6.9602
_cell_length_c 4.5870
_cell_angle_alpha 90.00
_cell_angle_beta 90.00
_cell_angle_gamma 90.00
_space_group_name_H-M_alt 'P 1'
_space_group_IT_number 1
loop_
_space_group_symop_operation_xyz
'x,y,z'
loop_
_atom_site_label
_atom_site_fract_x
_atom_site_fract_y
_atom_site_fract_z
Na1 0.6628 0.8372 0.5000
Na2 0.8372 0.3372 0.5000
Na3 0.3372 0.1628 0.5000
Na4 0.1628 0.6628 0.5000
Au1 0.3539 0.8539 0.0000
Au2 0.1461 0.3539 0.0000
Au3 0.6461 0.1461 0.0000
Au4 0.8539 0.6461 0.0000
Ga1 0.0000 0.0000 0.0000
Ga2 0.5000 0.5000 0.0000
# SG: P4/mbm, No. 127
# spin magnetization: 0.00 μB/cell
# energy of formation from the pure elements: -292 meV per atom
# energy above the most stable polymorph in this dataset: 20.9 meV per atom



Entry 11:
# Na6GaAu2 (PBE-GGA, relaxed)
data_Na6GaAu2
_chemical_formula_sum 'Na6 Ga1 Au2'
_cell_length_a 5.2508
_cell_length_b 5.2508
_cell_length_c 10.2118
_cell_angle_alpha 75.10
_cell_angle_beta 75.10
_cell_angle_gamma 60.00
_space_group_name_H-M_alt 'P 1'
_space_group_IT_number 1
loop_
_space_group_symop_operation_xyz
'x,y,z'
loop_
_atom_site_label
_atom_site_fract_x
_atom_site_fract_y
_atom_site_fract_z
Na1 0.6997 0.6997 0.9010
Na2 0.3003 0.3003 0.0990
Na3 0.1908 0.1908 0.4277
Na4 0.4210 0.4210 0.7371
Na5 0.8092 0.8092 0.5723
Na6 0.5790 0.5790 0.2629
Au1 0.0869 0.0869 0.7394
Au2 0.9131 0.9131 0.2606
Ga1 0.0000 0.0000 0.0000
# SG: R-3m, No. 166
# spin magnetization: 0.00 μB/cell
# energy of formation from the pure elements: -205 meV per atom



Entry 12:
# NaGa2Au10 (PBE-GGA, relaxed)
data_NaGa2Au10
_chemical_formula_sum 'Na1 Ga2 Au10'
_cell_length_a 5.5960
_cell_length_b 7.7312
_cell_length_c 6.8532
_cell_angle_alpha 81.50
_cell_angle_beta 65.90
_cell_angle_gamma 68.78
_space_group_name_H-M_alt 'P 1'
_space_group_IT_number 1
loop_
_space_group_symop_operation_xyz
'x,y,z'
loop_
_atom_site_label
_atom_site_fract_x
_atom_site_fract_y
_atom_site_fract_z
Au1 0.5093 0.7526 0.2288
Au2 0.7381 0.7526 0.7712
Au3 0.2619 0.2474 0.2288
Au4 0.4907 0.2474 0.7712
Au5 0.0000 0.0000 0.5000
Au6 0.6776 0.3296 0.3152
Au7 0.9928 0.3296 0.6848
Au8 0.3224 0.6704 0.6848
Au9 0.5000 0.0000 0.5000
Au10 0.0072 0.6704 0.3152
Ga1 0.5000 0.5000 0.0000
Ga2 0.0000 0.5000 0.0000
Na1 0.0000 0.0000 0.0000
# SG: Fmmm, No. 69
# spin magnetization: 0.00 μB/cell
# energy of formation from the pure elements: -117 meV per atom